i) # Hf2Zn2O5 GGA-PBE optimized geometry
data_Hf2Zn2O5
_space_group_name_H-M_alt 'P 1'
_space_group_IT_number 1
_cell_length_a 8.0267
_cell_length_b 3.8400
_cell_length_c 3.8400
_cell_angle_alpha 90.00
_cell_angle_beta 90.00
_cell_angle_gamma 90.00
loop_
_space_group_symop_operation_xyz
'x,y,z'
loop_
_atom_site_label
_atom_site_type_symbol
_atom_site_fract_x
_atom_site_fract_y
_atom_site_fract_z
_atom_site_occupancy
Hf1 Hf 0.2545 0.5000 0.5000 1
Hf2 Hf 0.7455 0.5000 0.5000 1
O1 O 0.1666 0.5000 0.0000 1
O2 O 0.8334 0.5000 0.0000 1
O3 O 0.1666 0.0000 0.5000 1
O4 O 0.8334 0.0000 0.5000 1
O5 O 0.5000 0.5000 0.5000 1
Zn1 Zn 0.0000 0.0000 0.0000 1
Zn2 Zn 0.5000 0.0000 0.0000 1
# SG ... P4/mmm, No. 123
# Mass density ... 8.0 Mg/m³



ii) # Hf2Zn2O5 GGA-PBE optimized geometry
data_Hf2Zn2O5
_space_group_name_H-M_alt 'P 1'
_space_group_IT_number 1
_cell_length_a 8.1981
_cell_length_b 3.6303
_cell_length_c 3.6303
_cell_angle_alpha 90.00
_cell_angle_beta 90.00
_cell_angle_gamma 90.00
loop_
_space_group_symop_operation_xyz
'x,y,z'
loop_
_atom_site_label
_atom_site_type_symbol
_atom_site_fract_x
_atom_site_fract_y
_atom_site_fract_z
_atom_site_occupancy
Hf1 Hf 0.0000 0.0000 0.0000 1
Hf2 Hf 0.5000 0.0000 0.0000 1
O1 O 0.1518 0.5000 0.0000 1
O2 O 0.8482 0.5000 0.0000 1
O3 O 0.1518 0.0000 0.5000 1
O4 O 0.8482 0.0000 0.5000 1
O5 O 0.5000 0.5000 0.5000 1
Zn1 Zn 0.2472 0.5000 0.5000 1
Zn2 Zn 0.7528 0.5000 0.5000 1
# SG ... P4/mmm, No. 123
# Mass density ... 8.7 Mg/m³



Relative calculated energies, zero for the most stable structure, unit kJ/mol of atoms: i) 0.0; ii) 62.2.



i) # Hf31ZrO64 GGA-PBE optimized geometry
data_Hf31ZrO64
_space_group_name_H-M_alt 'P 1'
_space_group_IT_number 1
_cell_length_a 10.0306
_cell_length_b 10.0787
_cell_length_c 10.4503
_cell_angle_alpha 89.99
_cell_angle_beta 90.00
_cell_angle_gamma 89.98
loop_
_space_group_symop_operation_xyz
'x,y,z'
loop_
_atom_site_label
_atom_site_type_symbol
_atom_site_fract_x
_atom_site_fract_y
_atom_site_fract_z
_atom_site_occupancy
Hf1 Hf 0.0089 0.1255 0.1088 1
Hf2 Hf 0.5088 0.1256 0.1088 1
Hf3 Hf 0.5096 0.6259 0.1091 1
Hf4 Hf 0.0083 0.6252 0.1092 1
Hf5 Hf 0.2411 0.3755 0.1417 1
Hf6 Hf 0.7412 0.3754 0.1418 1
Hf7 Hf 0.7415 0.8759 0.1419 1
Hf8 Hf 0.2414 0.8758 0.1420 1
Hf9 Hf 0.2415 0.6255 0.3587 1
Hf10 Hf 0.2413 0.1256 0.3587 1
Hf11 Hf 0.7414 0.1256 0.3588 1
Hf12 Hf 0.7414 0.6255 0.3589 1
Hf13 Hf 0.5089 0.8756 0.3916 1
Hf14 Hf 0.0089 0.8755 0.3917 1
Hf15 Hf 0.5087 0.3756 0.3917 1
Hf16 Hf 0.0087 0.3756 0.3917 1
Hf17 Hf 0.5092 0.6256 0.6083 1
Hf18 Hf 0.0088 0.6255 0.6085 1
Hf19 Hf 0.5088 0.1255 0.6085 1
Hf20 Hf 0.0088 0.1254 0.6089 1
Hf21 Hf 0.2413 0.8760 0.6413 1
Hf22 Hf 0.2412 0.3750 0.6414 1
Hf23 Hf 0.7414 0.8754 0.6416 1
Hf24 Hf 0.7411 0.3757 0.6417 1
Hf25 Hf 0.7413 0.1257 0.8586 1
Hf26 Hf 0.2414 0.1254 0.8587 1
Hf27 Hf 0.7413 0.6256 0.8588 1
Hf28 Hf 0.0084 0.3751 0.8916 1
Hf29 Hf 0.5096 0.8764 0.8917 1
Hf30 Hf 0.0085 0.8757 0.8919 1
Hf31 Hf 0.5091 0.3755 0.8919 1
O1 O 0.1455 0.2498 0.0080 1
O2 O 0.6453 0.2504 0.0080 1
O3 O 0.6464 0.7506 0.0081 1
O4 O 0.1441 0.7508 0.0095 1
O5 O 0.4097 0.4461 0.0581 1
O6 O 0.9097 0.4450 0.0586 1
O7 O 0.9104 0.9453 0.0588 1
O8 O 0.4106 0.9451 0.0588 1
O9 O 0.3396 0.6951 0.1911 1
O10 O 0.3396 0.1951 0.1916 1
O11 O 0.8396 0.1950 0.1917 1
O12 O 0.8396 0.6953 0.1919 1
O13 O 0.1047 0.0002 0.2425 1
O14 O 0.6046 0.5001 0.2425 1
O15 O 0.6047 0.0001 0.2425 1
O16 O 0.1046 0.5001 0.2426 1
O17 O 0.6049 0.7502 0.2579 1
O18 O 0.1046 0.2501 0.2580 1
O19 O 0.6046 0.2500 0.2581 1
O20 O 0.1048 0.7500 0.2584 1
O21 O 0.3397 0.4450 0.3084 1
O22 O 0.8397 0.4452 0.3086 1
O23 O 0.3397 0.9452 0.3088 1
O24 O 0.8397 0.9451 0.3089 1
O25 O 0.4110 0.6949 0.4409 1
O26 O 0.4103 0.1953 0.4416 1
O27 O 0.9105 0.6952 0.4417 1
O28 O 0.9104 0.1950 0.4417 1
O29 O 0.1454 0.5001 0.4922 1
O30 O 0.6454 0.5001 0.4924 1
O31 O 0.1454 0.0002 0.4924 1
O32 O 0.6456 0.0000 0.4925 1
O33 O 0.6456 0.7502 0.5078 1
O34 O 0.1457 0.7501 0.5078 1
O35 O 0.1452 0.2500 0.5079 1
O36 O 0.6454 0.2502 0.5079 1
O37 O 0.9100 0.4451 0.5584 1
O38 O 0.4105 0.9452 0.5584 1
O39 O 0.4102 0.4453 0.5585 1
O40 O 0.9106 0.9450 0.5589 1
O41 O 0.3403 0.6958 0.6898 1
O42 O 0.3392 0.1938 0.6911 1
O43 O 0.8393 0.6946 0.6915 1
O44 O 0.8397 0.1952 0.6917 1
O45 O 0.1036 0.4989 0.7414 1
O46 O 0.6049 0.0004 0.7423 1
O47 O 0.6044 0.5003 0.7425 1
O48 O 0.1048 0.0002 0.7426 1
O49 O 0.1035 0.7509 0.7569 1
O50 O 0.6045 0.2502 0.7579 1
O51 O 0.6049 0.7504 0.7580 1
O52 O 0.1047 0.2498 0.7581 1
O53 O 0.3398 0.4422 0.8081 1
O54 O 0.8396 0.9450 0.8088 1
O55 O 0.3396 0.9444 0.8089 1
O56 O 0.8392 0.4447 0.8089 1
O57 O 0.9106 0.6948 0.9415 1
O58 O 0.4107 0.1948 0.9416 1
O59 O 0.9104 0.1949 0.9417 1
O60 O 0.4131 0.6961 0.9418 1
O61 O 0.1455 0.0000 0.9925 1
O62 O 0.6457 0.0006 0.9926 1
O63 O 0.6452 0.5004 0.9927 1
O64 O 0.1437 0.4989 0.9935 1
Zr1 Zr 0.2418 0.6261 0.8596 1
# SG ... P1, No. 1
# Mass density ... 10.4 Mg/m³



ii) # Hf31ZrO64 GGA-PBE optimized geometry
data_Hf31ZrO64
_space_group_name_H-M_alt 'P 1'
_space_group_IT_number 1
_cell_length_a 10.1665
_cell_length_b 10.3649
_cell_length_c 10.4961
_cell_angle_alpha 89.99
_cell_angle_beta 80.66
_cell_angle_gamma 89.99
loop_
_space_group_symop_operation_xyz
'x,y,z'
loop_
_atom_site_label
_atom_site_type_symbol
_atom_site_fract_x
_atom_site_fract_y
_atom_site_fract_z
_atom_site_occupancy
Hf1 Hf 0.4863 0.1462 0.1042 1
Hf2 Hf 0.9864 0.1461 0.1043 1
Hf3 Hf 0.4866 0.6462 0.1045 1
Hf4 Hf 0.9859 0.6462 0.1047 1
Hf5 Hf 0.7634 0.8962 0.1462 1
Hf6 Hf 0.7635 0.3961 0.1462 1
Hf7 Hf 0.2636 0.8964 0.1464 1
Hf8 Hf 0.2637 0.3959 0.1467 1
Hf9 Hf 0.4865 0.3543 0.3541 1
Hf10 Hf 0.9866 0.8541 0.3542 1
Hf11 Hf 0.4863 0.8542 0.3542 1
Hf12 Hf 0.9865 0.3541 0.3542 1
Hf13 Hf 0.7636 0.1042 0.3961 1
Hf14 Hf 0.2635 0.1042 0.3962 1
Hf15 Hf 0.7638 0.6041 0.3962 1
Hf16 Hf 0.2637 0.6042 0.3963 1
Hf17 Hf 0.4869 0.6463 0.6037 1
Hf18 Hf 0.9863 0.1460 0.6040 1
Hf19 Hf 0.4866 0.1460 0.6041 1
Hf20 Hf 0.9866 0.6460 0.6043 1
Hf21 Hf 0.2634 0.3954 0.6457 1
Hf22 Hf 0.7638 0.8960 0.6459 1
Hf23 Hf 0.2635 0.8963 0.6460 1
Hf24 Hf 0.7636 0.3961 0.6462 1
Hf25 Hf 0.9858 0.8548 0.8541 1
Hf26 Hf 0.4866 0.3540 0.8541 1
Hf27 Hf 0.9856 0.3537 0.8542 1
Hf28 Hf 0.4870 0.8547 0.8543 1
Hf29 Hf 0.2634 0.1043 0.8961 1
Hf30 Hf 0.7636 0.6043 0.8963 1
Hf31 Hf 0.7635 0.1043 0.8963 1
O1 O 0.3475 0.2545 0.0093 1
O2 O 0.8475 0.2545 0.0095 1
O3 O 0.8469 0.7549 0.0097 1
O4 O 0.3492 0.7562 0.0103 1
O5 O 0.6621 0.0468 0.0826 1
O6 O 0.1623 0.0470 0.0827 1
O7 O 0.6625 0.5470 0.0827 1
O8 O 0.1615 0.5468 0.0850 1
O9 O 0.0876 0.7971 0.1677 1
O10 O 0.5876 0.2969 0.1677 1
O11 O 0.0876 0.2968 0.1678 1
O12 O 0.5877 0.7969 0.1681 1
O13 O 0.9022 0.0045 0.2409 1
O14 O 0.4022 0.0047 0.2409 1
O15 O 0.9020 0.5045 0.2412 1
O16 O 0.4021 0.5047 0.2413 1
O17 O 0.8477 0.2456 0.2594 1
O18 O 0.3478 0.2456 0.2594 1
O19 O 0.8478 0.7457 0.2595 1
O20 O 0.3478 0.7457 0.2597 1
O21 O 0.6622 0.4536 0.3326 1
O22 O 0.6621 0.9537 0.3326 1
O23 O 0.1623 0.9533 0.3329 1
O24 O 0.1626 0.4527 0.3336 1
O25 O 0.0875 0.2030 0.4175 1
O26 O 0.0876 0.7032 0.4178 1
O27 O 0.5878 0.2036 0.4178 1
O28 O 0.5879 0.7036 0.4178 1
O29 O 0.9022 0.9956 0.4908 1
O30 O 0.4022 0.4956 0.4908 1
O31 O 0.4022 0.9957 0.4909 1
O32 O 0.9024 0.4956 0.4910 1
O33 O 0.3478 0.2544 0.5093 1
O34 O 0.8478 0.2546 0.5093 1
O35 O 0.3479 0.7546 0.5093 1
O36 O 0.8480 0.7545 0.5094 1
O37 O 0.6625 0.5467 0.5824 1
O38 O 0.6624 0.0467 0.5825 1
O39 O 0.1623 0.0471 0.5827 1
O40 O 0.1627 0.5472 0.5834 1
O41 O 0.0872 0.2968 0.6672 1
O42 O 0.0877 0.7969 0.6678 1
O43 O 0.5885 0.7966 0.6678 1
O44 O 0.5881 0.2964 0.6679 1
O45 O 0.4034 0.5036 0.7396 1
O46 O 0.9022 0.0047 0.7408 1
O47 O 0.4023 0.0048 0.7409 1
O48 O 0.9022 0.5045 0.7410 1
O49 O 0.3493 0.7473 0.7582 1
O50 O 0.3478 0.2456 0.7593 1
O51 O 0.8475 0.2455 0.7594 1
O52 O 0.8478 0.7457 0.7594 1
O53 O 0.1621 0.4509 0.8324 1
O54 O 0.6626 0.9536 0.8325 1
O55 O 0.6623 0.4535 0.8325 1
O56 O 0.1624 0.9531 0.8327 1
O57 O 0.0871 0.2028 0.9176 1
O58 O 0.5876 0.7034 0.9177 1
O59 O 0.5877 0.2036 0.9179 1
O60 O 0.0853 0.7034 0.9183 1
O61 O 0.4023 0.9964 0.9908 1
O62 O 0.9020 0.9958 0.9910 1
O63 O 0.9023 0.4955 0.9910 1
O64 O 0.4035 0.4946 0.9922 1
Zr1 Zr 0.2636 0.6042 0.8953 1
# SG ... P1, No. 1
# Mass density ... 10.1 Mg/m³



Relative calculated energies, zero for the most stable structure, unit kJ/mol of atoms: i) 2.6; ii) 0.0.



i) # Hf2Zr2O5 GGA-PBE optimized geometry
data_Hf2Zr2O5
_space_group_name_H-M_alt 'P 1'
_space_group_IT_number 1
_cell_length_a 7.0805
_cell_length_b 4.0448
_cell_length_c 4.0448
_cell_angle_alpha 90.00
_cell_angle_beta 90.00
_cell_angle_gamma 90.00
loop_
_space_group_symop_operation_xyz
'x,y,z'
loop_
_atom_site_label
_atom_site_type_symbol
_atom_site_fract_x
_atom_site_fract_y
_atom_site_fract_z
_atom_site_occupancy
Hf1 Hf 0.2155 0.5000 0.5000 1
Hf2 Hf 0.7845 0.5000 0.5000 1
O1 O 0.2712 0.5000 0.0000 1
O2 O 0.7288 0.5000 0.0000 1
O3 O 0.2712 0.0000 0.5000 1
O4 O 0.7288 0.0000 0.5000 1
O5 O 0.5000 0.5000 0.5000 1
Zr1 Zr 0.0000 0.0000 0.0000 1
Zr2 Zr 0.5000 0.0000 0.0000 1
# SG ... P4/mmm, No. 123
# Mass density ... 8.9 Mg/m³



ii) # Hf2Zr2O5 GGA-PBE optimized geometry
data_Hf2Zr2O5
_space_group_name_H-M_alt 'P 1'
_space_group_IT_number 1
_cell_length_a 7.1666
_cell_length_b 4.0302
_cell_length_c 4.0302
_cell_angle_alpha 90.00
_cell_angle_beta 90.00
_cell_angle_gamma 90.00
loop_
_space_group_symop_operation_xyz
'x,y,z'
loop_
_atom_site_label
_atom_site_type_symbol
_atom_site_fract_x
_atom_site_fract_y
_atom_site_fract_z
_atom_site_occupancy
Hf1 Hf 0.0000 0.0000 0.0000 1
Hf2 Hf 0.5000 0.0000 0.0000 1
O1 O 0.2939 0.5000 0.0000 1
O2 O 0.7061 0.5000 0.0000 1
O3 O 0.2939 0.0000 0.5000 1
O4 O 0.7061 0.0000 0.5000 1
O5 O 0.5000 0.5000 0.5000 1
Zr1 Zr 0.2122 0.5000 0.5000 1
Zr2 Zr 0.7878 0.5000 0.5000 1
# SG ... P4/mmm, No. 123
# Mass density ... 8.8 Mg/m³



Relative calculated energies, zero for the most stable structure, unit kJ/mol of atoms: i) 0.0; ii) 25.2.



i) # HfPaOs GGA-PBE optimized geometry
data_HfPaOs
_space_group_name_H-M_alt 'P 1'
_space_group_IT_number 1
_cell_length_a 4.5593
_cell_length_b 4.5593
_cell_length_c 4.5593
_cell_angle_alpha 60.00
_cell_angle_beta 60.00
_cell_angle_gamma 60.00
loop_
_space_group_symop_operation_xyz
'x,y,z'
loop_
_atom_site_label
_atom_site_type_symbol
_atom_site_fract_x
_atom_site_fract_y
_atom_site_fract_z
_atom_site_occupancy
Hf1 Hf 0.2500 0.2500 0.2500 1
Os1 Os 0.7500 0.7500 0.7500 1
Pa1 Pa 0.0000 0.0000 0.0000 1
# SG ... F-43m, No. 216
# Mass density ... 14.9 Mg/m³



ii) # HfPaOs GGA-PBE optimized geometry
data_HfPaOs
_space_group_name_H-M_alt 'P 1'
_space_group_IT_number 1
_cell_length_a 4.6514
_cell_length_b 4.6514
_cell_length_c 4.6514
_cell_angle_alpha 60.00
_cell_angle_beta 60.00
_cell_angle_gamma 60.00
loop_
_space_group_symop_operation_xyz
'x,y,z'
loop_
_atom_site_label
_atom_site_type_symbol
_atom_site_fract_x
_atom_site_fract_y
_atom_site_fract_z
_atom_site_occupancy
Hf1 Hf 0.2500 0.2500 0.2500 1
Os1 Os 0.0000 0.0000 0.0000 1
Pa1 Pa 0.7500 0.7500 0.7500 1
# SG ... F-43m, No. 216
# Mass density ... 14.0 Mg/m³



Relative calculated energies, zero for the most stable structure, unit kJ/mol of atoms: i) 65.3; ii) 0.0.